Entry 1:
# Pm5SmHoTm2

Crystalline Pm5SmHoTm2 at its relaxed geometry (PBE, the Alexandria database).

Unit cell a=10.5159 b=10.5159 c=10.6932 alpha=90.00 beta=90.00 gamma=148.96
With the nearest neighbours (Å) after each atom.
Sites, in units of the cell vectors:
Pm (0.0164, 0.9836, 0.5000)  2 Ho 3.25, 3 Tm 3.47-3.57
Pm (0.2812, 0.7188, 0.7877)  1 Ho 3.07, 1 Tm 3.36, 2 Pm 3.42
Pm (0.2976, 0.7024, 0.1834)  3 Pm 3.42-3.72, 1 Ho 3.50, 3 Sm 3.50-3.81, 3 Tm 3.52-3.81
Pm (0.3901, 0.6099, 0.5027)  6 Pm 3.51-3.89, 4 Tm 3.60-3.63, 1 Sm 3.85
Pm (0.4801, 0.5199, 0.2205)  2 Ho 3.20-3.35, 2 Tm 3.50, 2 Pm 3.51-3.53
Pm (0.5199, 0.4801, 0.7205)  2 Ho 3.20-3.35, 2 Tm 3.50, 2 Pm 3.51-3.53
Pm (0.6099, 0.3901, 0.0027)  6 Pm 3.51-3.89, 4 Tm 3.60-3.63, 1 Sm 3.85
Pm (0.7024, 0.2976, 0.6834)  3 Pm 3.42-3.72, 1 Ho 3.50, 3 Sm 3.50-3.81, 3 Tm 3.52-3.81
Pm (0.7188, 0.2812, 0.2877)  1 Ho 3.07, 1 Tm 3.36, 2 Pm 3.42
Pm (0.9836, 0.0164, 0.0000)  2 Ho 3.25, 3 Tm 3.47-3.57
Sm (0.2002, 0.7998, 0.4886)  2 Tm 3.42-3.69, 7 Pm 3.50-3.81, 2 Ho 3.65
Sm (0.7998, 0.2002, 0.9886)  2 Tm 3.42-3.69, 7 Pm 3.50-3.81, 2 Ho 3.65
Ho (0.4108, 0.5892, 0.9364)  5 Pm 3.07-3.35
Ho (0.5892, 0.4108, 0.4364)  5 Pm 3.07-3.35
Tm (0.1104, 0.8896, 0.2177)  1 Sm 3.42, 7 Pm 3.47-3.81, 2 Ho 3.68
Tm (0.1155, 0.8845, 0.7935)  9 Pm 3.36-3.73, 1 Sm 3.69
Tm (0.8845, 0.1155, 0.2935)  9 Pm 3.36-3.73, 1 Sm 3.69
Tm (0.8896, 0.1104, 0.7177)  1 Sm 3.42, 7 Pm 3.47-3.81, 2 Ho 3.68

## Properties
As for the crystal system: orthorhombic. The space group is Cmc2_1 (36). Its density of states at the Fermi level is 1.595 states/eV/atom. Its theoretical density is 7.51 g/cm3. The calculation puts the formation enthalpy at 0 K at 0.149 eV per atom.

Entry 2:
# TlFeMo3

Crystalline TlFeMo3 at its relaxed geometry (PBE, the Alexandria database).

Unit cell a=4.5168 b=4.5168 c=4.5168 alpha=90.00 beta=90.00 gamma=90.00
With the nearest neighbours (Å) after each atom.
Sites, in units of the cell vectors:
Tl (0.0000, 0.0000, 0.0000)  12 Mo 3.19
Fe (0.5000, 0.5000, 0.5000)  6 Mo 2.26
Mo (0.0000, 0.5000, 0.5000)  2 Fe 2.26
Mo (0.5000, 0.0000, 0.5000)  2 Fe 2.26
Mo (0.5000, 0.5000, 0.0000)  2 Fe 2.26

## Properties
As for the crystal system: cubic. The space group is Pm-3m (221). Its density of states at the Fermi level is 1.165 states/eV/atom. Its theoretical density is 9.88 g/cm3. The value obtained for the relative energy among the computed polymorphs is 0 meV per atom. The calculation puts the formation enthalpy at 0 K at 1.098 eV per atom.

Entry 3:
# CeNb2VN4

Crystalline CeNb2VN4 at its relaxed geometry (PBE, the Alexandria database).

Unit cell a=5.7498 b=5.7498 c=10.9034 alpha=90.00 beta=90.00 gamma=147.58
With the nearest neighbours (Å) after each atom.
Sites, in units of the cell vectors:
Ce (0.1003, 0.8997, 0.7500)  6 N 2.39-2.62
Ce (0.8997, 0.1003, 0.2500)  6 N 2.39-2.62
Nb (0.3722, 0.6278, 0.5429)  3 N 2.07-2.19
Nb (0.3722, 0.6278, 0.9571)  3 N 2.07-2.19
Nb (0.6278, 0.3722, 0.0429)  3 N 2.07-2.19
Nb (0.6278, 0.3722, 0.4571)  3 N 2.07-2.19
V (0.1619, 0.8381, 0.2500)  4 N 1.89-1.96
V (0.8381, 0.1619, 0.7500)  4 N 1.89-1.96
N (0.0000, 0.0000, 0.0000)  4 Nb 2.19
N (0.0000, 0.0000, 0.5000)  4 Nb 2.19
N (0.2686, 0.7314, 0.1149)  1 V 1.89, 1 Nb 2.07
N (0.2686, 0.7314, 0.3851)  1 V 1.89, 1 Nb 2.07
N (0.4404, 0.5596, 0.7500)  2 V 1.96
N (0.5596, 0.4404, 0.2500)  2 V 1.96
N (0.7314, 0.2686, 0.6149)  1 V 1.89, 1 Nb 2.07
N (0.7314, 0.2686, 0.8851)  1 V 1.89, 1 Nb 2.07

## Properties
As for the crystal system: orthorhombic. The space group is Cmcm (63). Its density of states at the Fermi level is 0.641 states/eV/atom. Its theoretical density is 7.44 g/cm3. The formation energy (no corrections) comes out at -1.10 eV per atom.